! ReNiIr2, optimized geometry, DFT PBE-GGA; values from VASP
! space-group type	Cmmm
! V	14.31	A^3/atom
! DOS(E_F)	12.64	states/eV/cell
! energy relative to the elements	1.15	eV/f.u.
! ΔE to the lowest computed polymorph	0.433	eV/atom
&SYSTEM
  ibrav = 0, nat = 8, ntyp = 3
/
ATOMIC_SPECIES
Re 186.21 Re.upf
Ni 58.69 Ni.upf
Ir 192.22 Ir.upf
CELL_PARAMETERS angstrom
2.7605 0.0000 0.0000
0.0000 4.6175 0.0000
0.0000 0.0000 8.9816
ATOMIC_POSITIONS angstrom
Re 0.0000 0.0000 0.0000
Re 1.3802 2.3087 0.0000
Ni 0.0000 0.0000 4.4908
Ni 1.3802 2.3087 4.4908
Ir 0.0000 2.3087 2.3024
Ir 0.0000 2.3087 6.6792
Ir 1.3802 0.0000 2.3024
Ir 1.3802 0.0000 6.6792